Compound: Be2HCl
Source: Alexandria via LeMat-Bulk
Functional: PBE-GGA
Structure: optimized geometry

The space group is Fm-3m (No. 225) and the conventional cell measures 5.6533, 5.6533 and 5.6533 Å, with angles of 90.00, 90.00 and 90.00 degrees. Symmetry generates all atoms from Be at (0.2500, 0.2500, 0.2500), H at (0.0000, 0.0000, 0.0000) and Cl at (0.0000, 0.0000, 0.5000).

The value obtained for the density is 2.00 Mg/m³. The raw total energy is -2.062 eV/atom. For the density of states at the Fermi level, the calculation gives 1.6 states/eV per cell. As for the energy above the most stable polymorph in this dataset: 790 meV/atom. Its spin magnetization is 0.0 μB/f.u.